[1]
First-principles (GGA-PBE) data for a relaxed structure of GeTeH3, as listed in Alexandria.

Results
As for the total DFT energy (no corrections): -2.8661 eV per atom. Its crystal system is cubic. The total magnetization is 0.00 μB/f.u.

abc: 3.880 3.880 3.880
angles: 90.00 90.00 90.00
Atoms (fractional coordinates):
H 0.000 0.000 0.500
H 0.500 0.000 0.000
H 0.000 0.500 0.000
Te 0.500 0.500 0.500
Ge 0.000 0.000 0.000


[2]
First-principles (GGA-PBE) data for a relaxed structure of Pm8As3PtSe4, as listed in Alexandria.

Results
Its crystal system is trigonal. The calculation puts the energy relative to the elements, uncorrected at -1.653 eV per atom. The total magnetization is 0.00 μB/f.u.

abc: 8.434 8.462 8.434
angles: 119.89 120.00 90.00
Atoms (fractional coordinates):
Pm 0.749 0.740 0.994
Pm 0.754 0.260 0.006
Pm 0.253 0.260 0.507
Pm 0.747 0.740 0.493
Pm 0.251 0.260 0.006
Pm 0.246 0.740 0.994
Pm 0.754 0.260 0.509
Pm 0.246 0.740 0.491
Se 0.500 0.000 0.000
Se 0.500 0.000 0.500
Se 0.000 0.000 0.000
Se 0.000 0.000 0.500
As 0.500 0.500 0.500
As 0.000 0.500 0.500
As 0.500 0.500 0.000
Pt 0.000 0.500 0.000


[3]
First-principles (GGA-PBE) data for a relaxed structure of NpPPt, as listed in Alexandria.

Results
Its crystal system is tetragonal. The total magnetization is 3.63 μB/f.u. The value obtained for the energy relative to the elements is -0.400 eV/atom.

abc: 5.377 6.515 6.515
angles: 90.00 90.00 90.00
Atoms (fractional coordinates):
Pt 0.000 0.791 0.000
Pt 0.500 0.000 0.791
Pt 0.000 0.209 0.000
Pt 0.500 0.000 0.209
Np 0.000 0.803 0.500
Np 0.000 0.197 0.500
Np 0.500 0.500 0.803
Np 0.500 0.500 0.197
P 0.000 0.500 0.226
P 0.500 0.774 0.500
P 0.000 0.500 0.774
P 0.500 0.226 0.500


[4]
First-principles (GGA-PBE) data for a relaxed structure of Th2Al3Au2, as listed in Alexandria.

Results
Its crystal system is monoclinic. The total magnetization is 0.00 μB/f.u. The value obtained for the energy relative to the elements is -0.466 eV/atom.

abc: 4.598 3.709 9.712
angles: 90.00 76.24 90.00
Atoms (fractional coordinates):
Al 0.285 0.000 0.431
Al 0.000 0.000 0.000
Al 0.715 0.000 0.569
Au 0.574 0.000 0.850
Au 0.426 0.000 0.150
Th 0.146 0.500 0.707
Th 0.854 0.500 0.293


[5]
First-principles (GGA-PBE) data for a relaxed structure of Sc2CdAu4, as listed in Alexandria.

Results
Its crystal system is trigonal. The total magnetization is 0.00 μB/f.u. The value obtained for the energy relative to the elements is -0.533 eV/atom.

abc: 4.812 4.812 7.363
angles: 70.93 70.93 60.00
Atoms (fractional coordinates):
Cd 0.000 0.000 0.000
Au 0.413 0.413 0.762
Au 0.587 0.587 0.238
Au 0.136 0.136 0.592
Au 0.864 0.864 0.408
Sc 0.728 0.728 0.815
Sc 0.272 0.272 0.185


[6]
First-principles (GGA-PBE) data for a relaxed structure of Li2TmAg8, as listed in Alexandria.

Results
Its crystal system is monoclinic. The total magnetization is 0.00 μB/f.u. The value obtained for the energy relative to the elements is -0.168 eV/atom.

abc: 4.101 6.734 7.819
angles: 106.72 105.20 90.00
Atoms (fractional coordinates):
Ag 0.598 0.463 0.197
Ag 0.684 0.915 0.369
Ag 0.954 0.279 0.907
Ag 0.146 0.201 0.291
Ag 0.316 0.085 0.631
Ag 0.046 0.721 0.093
Ag 0.402 0.537 0.803
Ag 0.854 0.799 0.709
Tm 0.500 0.000 0.000
Li 0.779 0.356 0.558
Li 0.221 0.644 0.442


[7]
First-principles (GGA-PBE) data for a relaxed structure of Ag2SbRu, as listed in Alexandria.

Results
Its crystal system is orthorhombic. The calculation puts the energy relative to the elements, uncorrected at 0.421 eV per atom. The total magnetization is 0.67 μB/f.u.

abc: 3.092 4.363 5.479
angles: 90.00 90.00 90.00
Atoms (fractional coordinates):
Sb 0.500 0.500 0.750
Ag 0.000 0.000 0.491
Ag 0.000 0.000 0.009
Ru 0.500 0.500 0.250


[8]
First-principles (GGA-PBE) data for a relaxed structure of Na4BeN2, as listed in Alexandria.

Results
Its crystal system is trigonal. The calculation puts the energy relative to the elements, uncorrected at -0.147 eV per atom. The total magnetization is 0.00 μB/f.u.

abc: 4.357 4.357 6.885
angles: 71.55 71.55 60.00
Atoms (fractional coordinates):
N 0.081 0.081 0.758
N 0.919 0.919 0.242
Na 0.207 0.207 0.380
Na 0.793 0.793 0.620
Na 0.607 0.607 0.180
Na 0.393 0.393 0.820
Be 0.000 0.000 0.000


[9]
First-principles (GGA-PBE) data for a relaxed structure of PmPrPuO6, as listed in Alexandria.

Results
Its crystal system is trigonal. The calculation puts the energy relative to the elements, uncorrected at -2.978 eV per atom. The total magnetization is 2.00 μB/f.u.

abc: 5.903 5.903 9.697
angles: 90.00 90.00 120.00
Atoms (fractional coordinates):
Pu 0.333 0.667 0.750
Pu 0.667 0.333 0.250
O 0.333 0.368 0.864
O 0.035 0.667 0.864
O 0.965 0.632 0.364
O 0.035 0.368 0.636
O 0.667 0.035 0.364
O 0.965 0.333 0.136
O 0.368 0.035 0.136
O 0.333 0.965 0.636
O 0.667 0.632 0.136
O 0.368 0.333 0.364
O 0.632 0.965 0.864
O 0.632 0.667 0.636
Pr 0.000 0.000 0.500
Pr 0.000 0.000 0.000
Pm 0.333 0.667 0.250
Pm 0.667 0.333 0.750


[10]
First-principles (GGA-PBE) data for a relaxed structure of Tb4TlZn, as listed in Alexandria.

Results
Its crystal system is tetragonal. The total magnetization is 0.00 μB/f.u. The value obtained for the energy relative to the elements is -0.219 eV/atom.

abc: 3.608 3.608 12.854
angles: 90.00 90.00 90.00
Atoms (fractional coordinates):
Tb 0.000 0.000 0.333
Tb 0.000 0.000 0.667
Tb 0.500 0.500 0.862
Tb 0.500 0.500 0.138
Zn 0.000 0.000 0.000
Tl 0.500 0.500 0.500


[11]
First-principles (GGA-PBE) data for a relaxed structure of Ac2Mg15Pd2, as listed in Alexandria.

Results
Its crystal system is trigonal. The total magnetization is 0.00 μB/f.u. The value obtained for the energy relative to the elements is -0.147 eV/atom.

abc: 7.754 7.754 7.754
angles: 82.56 82.56 82.56
Atoms (fractional coordinates):
Mg 0.655 0.655 0.146
Mg 0.854 0.345 0.345
Mg 0.282 0.718 0.000
Mg 0.000 0.282 0.718
Mg 0.718 0.000 0.282
Mg 0.282 0.000 0.718
Mg 0.345 0.854 0.345
Mg 0.146 0.655 0.655
Mg 0.345 0.345 0.854
Mg 0.000 0.000 0.500
Mg 0.000 0.718 0.282
Mg 0.718 0.282 0.000
Mg 0.655 0.146 0.655
Mg 0.500 0.000 0.000
Mg 0.000 0.500 0.000
Pd 0.107 0.107 0.107
Pd 0.893 0.893 0.893
Ac 0.329 0.329 0.329
Ac 0.671 0.671 0.671


[12]
First-principles (GGA-PBE) data for a relaxed structure of K2TlCd6, as listed in Alexandria.

Results
Its crystal system is trigonal. The total magnetization is 0.00 μB/f.u. The value obtained for the energy relative to the elements is -0.073 eV/atom.

abc: 6.903 6.657 6.658
angles: 119.99 89.99 90.00
Atoms (fractional coordinates):
Cd 0.654 0.180 0.360
Cd 0.346 0.820 0.180
Cd 0.346 0.359 0.180
Cd 0.654 0.180 0.820
Cd 0.654 0.641 0.820
Cd 0.346 0.820 0.640
Tl 0.000 0.000 0.000
K 0.133 0.333 0.667
K 0.867 0.667 0.333


[13]
First-principles (GGA-PBE) data for a relaxed structure of SnHgIO2, as listed in Alexandria.

Results
Its crystal system is tetragonal. The calculation puts the energy relative to the elements, uncorrected at 0.312 eV per atom. The total magnetization is 0.00 μB/f.u.

abc: 4.428 4.428 5.834
angles: 90.00 90.00 90.00
Atoms (fractional coordinates):
O 0.500 0.000 0.000
O 0.000 0.500 0.000
I 0.000 0.000 0.500
Sn 0.500 0.500 0.500
Hg 0.000 0.000 0.000


[14]
First-principles (GGA-PBE) data for a relaxed structure of LaCo2Mo2, as listed in Alexandria.

Results
Its crystal system is tetragonal. The total magnetization is 0.00 μB/f.u. The value obtained for the energy relative to the elements is 0.373 eV/atom.

abc: 7.657 7.657 2.754
angles: 90.00 90.00 90.00
Atoms (fractional coordinates):
Co 0.619 0.119 0.000
Co 0.381 0.881 0.000
Co 0.881 0.619 0.000
Co 0.119 0.381 0.000
Mo 0.337 0.163 0.500
Mo 0.663 0.837 0.500
Mo 0.163 0.663 0.500
Mo 0.837 0.337 0.500
La 0.000 0.000 0.000
La 0.500 0.500 0.000


[15]
First-principles (GGA-PBE) data for a relaxed structure of NdEuPuIn, as listed in Alexandria.

Results
Its crystal system is cubic. The total magnetization is 13.80 μB/f.u. The value obtained for the energy relative to the elements is -0.032 eV/atom.

abc: 5.571 5.571 5.571
angles: 60.00 60.00 60.00
Atoms (fractional coordinates):
Eu 0.500 0.500 0.500
In 0.250 0.250 0.250
Pu 0.750 0.750 0.750
Nd 0.000 0.000 0.000


[16]
First-principles (GGA-PBE) data for a relaxed structure of Pr4Tl3H2, as listed in Alexandria.

Results
As for the total DFT energy (no corrections): -4.0454 eV per atom. Its crystal system is monoclinic. The total magnetization is 0.00 μB/f.u.

abc: 4.793 6.224 8.828
angles: 109.16 90.00 112.65
Atoms (fractional coordinates):
H 0.684 0.368 0.384
H 0.316 0.632 0.616
Tl 0.394 0.789 0.314
Tl 0.000 0.000 0.000
Tl 0.606 0.211 0.686
Pr 0.882 0.763 0.594
Pr 0.293 0.585 0.870
Pr 0.118 0.237 0.406
Pr 0.707 0.415 0.130


[17]
First-principles (GGA-PBE) data for a relaxed structure of Mg14ZnCu, as listed in Alexandria.

Results
Its crystal system is orthorhombic. The total magnetization is 0.00 μB/f.u. The value obtained for the energy relative to the elements is 0.004 eV/atom.

abc: 6.194 6.194 10.125
angles: 90.00 90.00 118.56
Atoms (fractional coordinates):
Zn 0.836 0.164 0.500
Mg 0.349 0.151 0.500
Mg 0.665 0.335 0.751
Mg 0.165 0.835 0.253
Mg 0.657 0.836 0.727
Mg 0.665 0.335 0.249
Mg 0.164 0.343 0.727
Mg 0.165 0.835 0.747
Mg 0.657 0.836 0.273
Mg 0.336 0.664 0.000
Mg 0.164 0.343 0.273
Mg 0.832 0.669 0.000
Mg 0.836 0.164 0.000
Mg 0.331 0.168 0.000
Mg 0.849 0.651 0.500
Cu 0.331 0.669 0.500


[18]
First-principles (GGA-PBE) data for a relaxed structure of Dy5Bi2C2, as listed in Alexandria.

Results
Its crystal system is monoclinic. The total magnetization is 0.00 μB/f.u. The value obtained for the energy relative to the elements is -0.390 eV/atom.

abc: 5.094 7.106 7.274
angles: 105.33 90.00 111.00
Atoms (fractional coordinates):
Bi 0.408 0.815 0.687
Bi 0.592 0.185 0.313
Dy 0.333 0.665 0.079
Dy 0.667 0.335 0.921
Dy 0.155 0.310 0.582
Dy 0.000 0.000 0.000
Dy 0.845 0.690 0.418
C 0.843 0.686 0.110
C 0.157 0.314 0.890


[19]
First-principles (GGA-PBE) data for a relaxed structure of Y2SbW, as listed in Alexandria.

Results
Its crystal system is tetragonal. The calculation puts the energy relative to the elements, uncorrected at 0.065 eV per atom. The total magnetization is 0.59 μB/f.u.

abc: 3.353 3.353 8.820
angles: 90.00 90.00 90.00
Atoms (fractional coordinates):
Y 0.000 0.000 0.530
Y 0.000 0.000 0.970
Sb 0.500 0.500 0.250
W 0.500 0.500 0.750


[20]
First-principles (GGA-PBE) data for a relaxed structure of SiSb3Ir, as listed in Alexandria.

Results
Its crystal system is cubic. The calculation puts the energy relative to the elements, uncorrected at 0.774 eV per atom. The total magnetization is 0.00 μB/f.u.

abc: 5.180 5.180 5.180
angles: 90.00 90.00 90.00
Atoms (fractional coordinates):
Ir 0.000 0.000 0.000
Sb 0.000 0.500 0.000
Sb 0.500 0.000 0.000
Sb 0.000 0.000 0.500
Si 0.500 0.500 0.500